Ho7Mg3 PBE relaxed; space group = P6_3mc, No. 186; crystal system = hexagonal
1.0
7.6129 0.0000 0.0000
0.0000 9.5634 0.0000
0.0000 -4.7817 8.2821
Ho Mg
14 6
direct
0.0075 0.6667 0.3333
0.5075 0.3333 0.6667
0.9417 0.8766 0.7532
0.9417 0.8766 0.1234
0.9417 0.2468 0.1234
0.4417 0.1234 0.2468
0.4417 0.1234 0.8766
0.4417 0.7532 0.8766
0.1723 0.4613 0.9226
0.1723 0.4613 0.5387
0.1723 0.0774 0.5387
0.6723 0.5387 0.0774
0.6723 0.5387 0.4613
0.6723 0.9226 0.4613
0.8529 0.2217 0.4433
0.8529 0.2217 0.7783
0.8529 0.5567 0.7783
0.3529 0.7783 0.5567
0.3529 0.7783 0.2217
0.3529 0.4433 0.2217

HoMg5 PBE relaxed; space group = C2/m, No. 12; crystal system = monoclinic
1.0
3.8044 -0.0020 0.0009
-1.9056 5.8536 -0.0020
0.0030 -2.0917 6.6171
Mg Ho
5 1
direct
0.9654 0.9297 0.9496
0.3108 0.6231 0.1216
0.6390 0.2776 0.2779
0.9671 0.9326 0.4341
0.3122 0.6258 0.6057
0.6389 0.2779 0.7778

HoMg4 PBE relaxed; space group = I-43m, No. 217; polymorph energy (0 for the lowest one) = 0.1471 eV per atom; crystal system = cubic
1.0
-3.4660 -8.0167 0.3106
4.5562 1.4890 7.3076
-6.3961 5.9140 -0.7010
Ho Mg
4 16
direct
0.5764 0.0000 0.0000
0.0000 0.5764 0.0000
0.4236 0.4236 0.4236
0.0000 0.0000 0.5764
0.2119 0.0000 0.0000
0.0000 0.2119 0.0000
0.7881 0.7881 0.7881
0.0000 0.0000 0.2119
0.3485 0.0000 0.3485
0.6515 0.0000 0.6515
0.0000 0.6515 0.6515
0.0000 0.3485 0.3485
0.3485 0.3485 0.0000
0.6515 0.6515 0.0000
0.2500 0.5000 0.7500
0.7500 0.5000 0.2500
0.5000 0.2500 0.7500
0.5000 0.7500 0.2500
0.7500 0.2500 0.5000
0.2500 0.7500 0.5000

Quick rundown of DOS at the Fermi energy, same order as above: 26.4 3.2 13.1 states/eV/cell
Quick rundown of mass density, same order as above: 6.8 3.2 3.4 g/cm3
Quick rundown of formation energy from the elements, same order as above: 0.132 -0.011 0.102 eV/atom